No. 1
# CrSiBr2 PBEsol relaxed
# calculated density	4.9	g/cm³
# magnetization	4.6	μB per formula unit
# crystal system	tetragonal
# E_form (uncorrected)	0.5029	eV per atom
# energy	-17.7	eV/f.u.
data_CrSiBr2
_chemical_formula_sum 'Cr1 Si1 Br2'
_symmetry_space_group_name_H-M 'P 4/m m m'
_symmetry_Int_Tables_number 123
_symmetry_space_group_name_Hall '-P 4 2'
_cell_length_a 4.872
_cell_length_b 4.872
_cell_length_c 3.424
_cell_angle_alpha 90.00
_cell_angle_beta 90.00
_cell_angle_gamma 90.00
loop_
_atom_site_label
_atom_site_fract_x
_atom_site_fract_y
_atom_site_fract_z
Cr1 0.000 0.000 0.000
Si1 0.500 0.500 0.000
Br1 0.000 0.500 0.500

***

No. 2
# CrSiBr2 PBEsol relaxed
# calculated density	4.3	g/cm³
# magnetization	2.1	μB per formula unit
# crystal system	tetragonal
# E_form (uncorrected)	-0.0172	eV per atom
# energy	-19.8	eV/f.u.
data_CrSiBr2
_chemical_formula_sum 'Cr1 Si1 Br2'
_symmetry_space_group_name_H-M 'P 4 m m'
_symmetry_Int_Tables_number 99
_cell_length_a 3.435
_cell_length_b 3.435
_cell_length_c 7.814
_cell_angle_alpha 90.00
_cell_angle_beta 90.00
_cell_angle_gamma 90.00
loop_
_symmetry_equiv_pos_as_xyz
'x,y,z'
'-y,x,z'
'-x,-y,z'
'y,-x,z'
'-x,y,z'
'y,x,z'
'x,-y,z'
'-y,-x,z'
loop_
_atom_site_label
_atom_site_fract_x
_atom_site_fract_y
_atom_site_fract_z
Cr1 0.000 0.000 0.000
Si1 0.500 0.500 0.949
Br1 0.000 0.000 0.289
Br2 0.500 0.500 0.659

***

No. 3
# CrSi2Br PBEsol relaxed
# calculated density	4.6	g/cm³
# magnetization	3.7	μB per formula unit
# crystal system	cubic
# E_form (uncorrected)	0.7088	eV per atom
# energy	-20.8	eV/f.u.
data_CrSi2Br
_chemical_formula_sum 'Cr4 Si8 Br4'
_symmetry_space_group_name_H-M 'F -4 3 m'
_symmetry_Int_Tables_number 216
_symmetry_space_group_name_Hall 'F -4 2 3'
_cell_length_a 6.471
_cell_length_b 6.471
_cell_length_c 6.471
_cell_angle_alpha 90.00
_cell_angle_beta 90.00
_cell_angle_gamma 90.00
loop_
_atom_site_label
_atom_site_fract_x
_atom_site_fract_y
_atom_site_fract_z
Cr1 0.000 0.000 0.000
Si1 0.000 0.000 0.500
Si2 0.250 0.250 0.250
Br1 0.250 0.250 0.750

***

No. 4
# CrSi2Br PBEsol relaxed
# calculated density	5.0	g/cm³
# magnetization	0.9	μB per formula unit
# crystal system	trigonal
# E_form (uncorrected)	0.2536	eV per atom
# energy	-22.6	eV/f.u.
data_CrSi2Br
_chemical_formula_sum 'Cr3 Si6 Br3'
_symmetry_space_group_name_H-M 'R -3 m'
_symmetry_Int_Tables_number 166
_symmetry_space_group_name_Hall '-R 3 2"'
_cell_length_a 3.1175
_cell_length_b 3.1175
_cell_length_c 22.3271
_cell_angle_alpha 90.00
_cell_angle_beta 90.00
_cell_angle_gamma 120.00
loop_
_atom_site_label
_atom_site_fract_x
_atom_site_fract_y
_atom_site_fract_z
Cr1 0.0000 0.0000 0.0000
Si1 0.0000 0.0000 0.2639
Br1 0.0000 0.0000 0.5000

***

No. 5
# CrSiBr2 PBEsol relaxed
# calculated density	4.5	g/cm³
# magnetization	2.2	μB per formula unit
# crystal system	monoclinic
# E_form (uncorrected)	0.0505	eV per atom
# energy	-19.5	eV/f.u.
data_CrSiBr2
_chemical_formula_sum 'Cr2 Si2 Br4'
_symmetry_space_group_name_H-M 'C 1 2/m 1'
_symmetry_Int_Tables_number 12
_cell_length_a 14.461
_cell_length_b 3.188
_cell_length_c 3.895
_cell_angle_alpha 90.00
_cell_angle_beta 98.86
_cell_angle_gamma 90.00
loop_
_symmetry_equiv_pos_as_xyz
'x,y,z'
'-x,-y,-z'
'-x,y,-z'
'x,-y,z'
'x+1/2,y+1/2,z'
'-x+1/2,-y+1/2,-z'
'-x+1/2,y+1/2,-z'
'x+1/2,-y+1/2,z'
loop_
_atom_site_label
_atom_site_fract_x
_atom_site_fract_y
_atom_site_fract_z
Cr1 0.000 0.000 0.000
Si1 0.000 0.500 0.500
Br1 0.146 0.500 0.199

***

No. 6
# Cr3SiBr PBEsol relaxed
# calculated density	5.6	g/cm³
# magnetization	2.5	μB per formula unit
# crystal system	cubic
# E_form (uncorrected)	1.4497	eV per atom
# energy	-31.1	eV/f.u.
data_Cr3SiBr
_chemical_formula_sum 'Cr3 Si1 Br1'
_symmetry_space_group_name_H-M 'P m -3 m'
_symmetry_Int_Tables_number 221
_symmetry_space_group_name_Hall '-P 4 2 3'
_cell_length_a 4.272
_cell_length_b 4.272
_cell_length_c 4.272
_cell_angle_alpha 90.00
_cell_angle_beta 90.00
_cell_angle_gamma 90.00
loop_
_atom_site_label
_atom_site_fract_x
_atom_site_fract_y
_atom_site_fract_z
Cr1 0.000 0.000 0.500
Si1 0.500 0.500 0.500
Br1 0.000 0.000 0.000

***

No. 7
# CrSi2Br PBEsol relaxed
# calculated density	3.4	g/cm³
# magnetization	1.3	μB per formula unit
# crystal system	tetragonal
# E_form (uncorrected)	0.8753	eV per atom
# energy	-20.1	eV/f.u.
data_CrSi2Br
_chemical_formula_sum 'Cr4 Si8 Br4'
_symmetry_space_group_name_H-M 'I -4 2 d'
_symmetry_Int_Tables_number 122
_symmetry_space_group_name_Hall 'I -4 2bw'
_cell_length_a 5.760
_cell_length_b 5.760
_cell_length_c 11.225
_cell_angle_alpha 90.00
_cell_angle_beta 90.00
_cell_angle_gamma 90.00
loop_
_atom_site_label
_atom_site_fract_x
_atom_site_fract_y
_atom_site_fract_z
Cr1 0.000 0.000 0.000
Si1 0.183 0.250 0.125
Br1 0.000 0.000 0.500

***

No. 8
# CrSiBr2 PBEsol relaxed
# calculated density	4.4	g/cm³
# magnetization	4.4	μB per formula unit
# crystal system	orthorhombic
# E_form (uncorrected)	0.3462	eV per atom
# energy	-18.3	eV/f.u.
data_CrSiBr2
_chemical_formula_sum 'Cr2 Si2 Br4'
_symmetry_space_group_name_H-M 'C m m m'
_symmetry_Int_Tables_number 65
_symmetry_space_group_name_Hall '-C 2 2'
_cell_length_a 3.407
_cell_length_b 5.991
_cell_length_c 8.954
_cell_angle_alpha 90.00
_cell_angle_beta 90.00
_cell_angle_gamma 90.00
loop_
_atom_site_label
_atom_site_fract_x
_atom_site_fract_y
_atom_site_fract_z
Cr1 0.000 0.000 0.000
Si1 0.000 0.000 0.500
Br1 0.000 0.500 0.205

***

No. 9
# CrSiBr2 PBEsol relaxed
# calculated density	4.4	g/cm³
# magnetization	4.1	μB per formula unit
# crystal system	tetragonal
# E_form (uncorrected)	0.3677	eV per atom
# energy	-18.3	eV/f.u.
data_CrSiBr2
_chemical_formula_sum 'Cr2 Si2 Br4'
_symmetry_space_group_name_H-M 'I 4/m m m'
_symmetry_Int_Tables_number 139
_symmetry_space_group_name_Hall '-I 4 2'
_cell_length_a 5.333
_cell_length_b 5.333
_cell_length_c 6.314
_cell_angle_alpha 90.00
_cell_angle_beta 90.00
_cell_angle_gamma 90.00
loop_
_atom_site_label
_atom_site_fract_x
_atom_site_fract_y
_atom_site_fract_z
Cr1 0.000 0.000 0.000
Si1 0.000 0.000 0.500
Br1 0.000 0.500 0.000

***

No. 10
# CrSiBr PBEsol relaxed
# calculated density	4.6	g/cm³
# magnetization	2.9	μB per formula unit
# crystal system	tetragonal
# E_form (uncorrected)	0.2600	eV per atom
# energy	-17.1	eV/f.u.
data_CrSiBr
_chemical_formula_sum 'Cr2 Si2 Br2'
_symmetry_space_group_name_H-M 'I 4 m m'
_symmetry_Int_Tables_number 107
_symmetry_space_group_name_Hall 'I 4 -2'
_cell_length_a 3.139
_cell_length_b 3.139
_cell_length_c 11.719
_cell_angle_alpha 90.00
_cell_angle_beta 90.00
_cell_angle_gamma 90.00
loop_
_atom_site_label
_atom_site_fract_x
_atom_site_fract_y
_atom_site_fract_z
Cr1 0.000 0.000 0.000
Si1 0.000 0.000 0.412
Br1 0.000 0.000 0.209

***

No. 11
# CrSn3Br PBEsol relaxed
# calculated density	5.1	g/cm³
# magnetization	4.9	μB per formula unit
# crystal system	cubic
# E_form (uncorrected)	1.0452	eV per atom
# energy	-19.7	eV/f.u.
data_CrSn3Br
_chemical_formula_sum 'Cr1 Sn3 Br1'
_symmetry_space_group_name_H-M 'P m -3 m'
_symmetry_Int_Tables_number 221
_symmetry_space_group_name_Hall '-P 4 2 3'
_cell_length_a 5.421
_cell_length_b 5.421
_cell_length_c 5.421
_cell_angle_alpha 90.00
_cell_angle_beta 90.00
_cell_angle_gamma 90.00
loop_
_atom_site_label
_atom_site_fract_x
_atom_site_fract_y
_atom_site_fract_z
Cr1 0.000 0.000 0.000
Sn1 0.000 0.500 0.500
Br1 0.500 0.500 0.500

***

No. 12
# Sr2CrBr PBEsol relaxed
# calculated density	4.1	g/cm³
# magnetization	4.5	μB per formula unit
# crystal system	tetragonal
# E_form (uncorrected)	-0.1955	eV per atom
# energy	-16.6	eV/f.u.
data_Sr2CrBr
_chemical_formula_sum 'Sr2 Cr1 Br1'
_symmetry_space_group_name_H-M 'P 4/m m m'
_symmetry_Int_Tables_number 123
_symmetry_space_group_name_Hall '-P 4 2'
_cell_length_a 3.809
_cell_length_b 3.809
_cell_length_c 8.485
_cell_angle_alpha 90.00
_cell_angle_beta 90.00
_cell_angle_gamma 90.00
loop_
_atom_site_label
_atom_site_fract_x
_atom_site_fract_y
_atom_site_fract_z
Sr1 0.000 0.000 0.237
Cr1 0.500 0.500 0.000
Br1 0.500 0.500 0.500

***

No. 13
# Ta2CrBr PBEsol relaxed
# calculated density	12.7	g/cm³
# magnetization	0.0	μB per formula unit
# crystal system	monoclinic
# E_form (uncorrected)	0.4952	eV per atom
# energy	-35.2	eV/f.u.
data_Ta2CrBr
_chemical_formula_sum 'Ta2 Cr1 Br1'
_symmetry_space_group_name_H-M 'P 1 m 1'
_symmetry_Int_Tables_number 6
_cell_length_a 2.979
_cell_length_b 4.461
_cell_length_c 5.082
_cell_angle_alpha 90.00
_cell_angle_beta 106.35
_cell_angle_gamma 90.00
loop_
_symmetry_equiv_pos_as_xyz
'x,y,z'
'x,-y,z'
loop_
_atom_site_label
_atom_site_fract_x
_atom_site_fract_y
_atom_site_fract_z
Ta1 0.000 0.000 0.000
Ta2 0.254 0.500 0.738
Cr1 0.539 0.000 0.530
Br1 0.527 0.500 0.277

***

No. 14
# Ta2CrBr PBEsol relaxed
# calculated density	12.5	g/cm³
# magnetization	1.7	μB per formula unit
# crystal system	orthorhombic
# E_form (uncorrected)	0.7134	eV per atom
# energy	-34.4	eV/f.u.
data_Ta2CrBr
_chemical_formula_sum 'Ta2 Cr1 Br1'
_symmetry_space_group_name_H-M 'P m m m'
_symmetry_Int_Tables_number 47
_cell_length_a 3.159
_cell_length_b 4.458
_cell_length_c 4.653
_cell_angle_alpha 90.00
_cell_angle_beta 90.00
_cell_angle_gamma 90.00
loop_
_symmetry_equiv_pos_as_xyz
'x,y,z'
'-x,-y,-z'
'-x,-y,z'
'x,y,-z'
'x,-y,-z'
'-x,y,z'
'-x,y,-z'
'x,-y,z'
loop_
_atom_site_label
_atom_site_fract_x
_atom_site_fract_y
_atom_site_fract_z
Ta1 0.000 0.000 0.000
Ta2 0.500 0.000 0.500
Cr1 0.000 0.500 0.500
Br1 0.500 0.500 0.000

***

No. 15
# Cr3TeBr PBEsol relaxed
# calculated density	4.9	g/cm³
# magnetization	14.8	μB per formula unit
# crystal system	cubic
# E_form (uncorrected)	1.1677	eV per atom
# energy	-30.3	eV/f.u.
data_Cr3TeBr
_chemical_formula_sum 'Cr3 Te1 Br1'
_symmetry_space_group_name_H-M 'P m -3 m'
_symmetry_Int_Tables_number 221
_symmetry_space_group_name_Hall '-P 4 2 3'
_cell_length_a 4.977
_cell_length_b 4.977
_cell_length_c 4.977
_cell_angle_alpha 90.00
_cell_angle_beta 90.00
_cell_angle_gamma 90.00
loop_
_atom_site_label
_atom_site_fract_x
_atom_site_fract_y
_atom_site_fract_z
Cr1 0.000 0.000 0.500
Te1 0.500 0.500 0.500
Br1 0.000 0.000 0.000